1.
{"formula": "Ac3CeRu2", "functional": "GGA-PBE", "state": "optimized geometry", "lattice_angstrom": [[8.6546, -2.1701, 0.0000], [8.6546, 2.1701, 0.0000], [-6.5575, 0.0000, 10.5618]], "species": ["Ac", "Ac", "Ac", "Ac", "Ac", "Ac", "Ce", "Ce", "Ru", "Ru", "Ru", "Ru"], "frac_coords": [[0.0580, 0.0580, 0.2035], [0.1957, 0.1957, 0.5885], [0.3284, 0.3284, 0.9680], [0.6716, 0.6716, 0.0320], [0.8043, 0.8043, 0.4115], [0.9420, 0.9420, 0.7965], [0.4486, 0.4486, 0.3262], [0.5514, 0.5514, 0.6738], [0.1273, 0.1273, 0.8278], [0.3896, 0.3896, 0.6017], [0.6104, 0.6104, 0.3983], [0.8727, 0.8727, 0.1722]], "final_energy_ha_per_atom": -0.23303, "ef_ev_per_atom": -0.206, "volume_a3_per_cell": 396.7}

2.
{"formula": "AcCeRu", "functional": "GGA-PBE", "state": "optimized geometry", "lattice_angstrom": [[4.6300, 0.0000, 0.0000], [-0.2522, 5.0233, 0.0000], [-0.3568, -0.1265, 7.4848]], "species": ["Ac", "Ac", "Ce", "Ce", "Ru", "Ru"], "frac_coords": [[0.2420, 0.2477, 0.3774], [0.7580, 0.7523, 0.6226], [0.2550, 0.7395, 0.0216], [0.7450, 0.2605, 0.9784], [0.3305, 0.2187, 0.7913], [0.6695, 0.7813, 0.2087]], "final_energy_ha_per_atom": -0.24509, "polymorph_energy_mev_per_atom": 0, "ef_ev_per_atom": -0.230, "volume_a3_per_cell": 174.1}

3.
{"formula": "Ac2Ce3Ru2", "functional": "GGA-PBE", "state": "optimized geometry", "lattice_angstrom": [[12.3307, 0.0000, 0.0000], [0.0000, 3.8678, 0.0000], [-3.5227, 0.0000, 8.3449]], "species": ["Ac", "Ac", "Ac", "Ac", "Ce", "Ce", "Ce", "Ce", "Ce", "Ce", "Ru", "Ru", "Ru", "Ru"], "frac_coords": [[0.1616, 0.0000, 0.2943], [0.3384, 0.5000, 0.7057], [0.6616, 0.5000, 0.2943], [0.8384, 0.0000, 0.7057], [0.0000, 0.5000, 0.5000], [0.1228, 0.5000, 0.9282], [0.3772, 0.0000, 0.0718], [0.5000, 0.0000, 0.5000], [0.6228, 0.0000, 0.9282], [0.8772, 0.5000, 0.0718], [0.1231, 0.0000, 0.7280], [0.3769, 0.5000, 0.2720], [0.6231, 0.5000, 0.7280], [0.8769, 0.0000, 0.2720]], "final_energy_ha_per_atom": -0.24233, "ef_ev_per_atom": -0.227, "volume_a3_per_cell": 398.0}

4.
{"formula": "Ac2Ce2Ru3", "functional": "GGA-PBE", "state": "optimized geometry", "lattice_angstrom": [[4.4508, 0.0000, 0.0000], [-1.5616, 5.9206, 0.0000], [-0.9821, -0.9583, 7.4009]], "species": ["Ac", "Ac", "Ce", "Ce", "Ru", "Ru", "Ru"], "frac_coords": [[0.1789, 0.2498, 0.3645], [0.8211, 0.7502, 0.6355], [0.3778, 0.7305, 0.0821], [0.6222, 0.2695, 0.9179], [0.0000, 0.0000, 0.0000], [0.1915, 0.3674, 0.7625], [0.8085, 0.6326, 0.2375]], "final_energy_ha_per_atom": -0.26170, "ef_ev_per_atom": -0.277, "volume_a3_per_cell": 195.0}

5.
{"formula": "AcCeRu2", "functional": "GGA-PBE", "state": "optimized geometry", "lattice_angstrom": [[7.1397, 0.0000, 0.0000], [0.0000, 7.1397, 0.0000], [0.0000, 0.0000, 7.1397]], "species": ["Ac", "Ac", "Ac", "Ac", "Ce", "Ce", "Ce", "Ce", "Ru", "Ru", "Ru", "Ru", "Ru", "Ru", "Ru", "Ru"], "frac_coords": [[0.0000, 0.0000, 0.0000], [0.0000, 0.5000, 0.5000], [0.5000, 0.0000, 0.5000], [0.5000, 0.5000, 0.0000], [0.0000, 0.0000, 0.5000], [0.0000, 0.5000, 0.0000], [0.5000, 0.0000, 0.0000], [0.5000, 0.5000, 0.5000], [0.2500, 0.2500, 0.2500], [0.2500, 0.2500, 0.7500], [0.2500, 0.7500, 0.2500], [0.2500, 0.7500, 0.7500], [0.7500, 0.2500, 0.2500], [0.7500, 0.2500, 0.7500], [0.7500, 0.7500, 0.2500], [0.7500, 0.7500, 0.7500]], "final_energy_ha_per_atom": -0.26438, "polymorph_energy_mev_per_atom": 160, "ef_ev_per_atom": -0.046, "volume_a3_per_cell": 363.9}

6.
{"formula": "AcCeRu", "functional": "GGA-PBE", "state": "optimized geometry", "lattice_angstrom": [[3.6337, 0.0000, 0.0000], [0.0000, 3.6337, 0.0000], [0.0000, 0.0000, 12.4826]], "species": ["Ac", "Ac", "Ce", "Ce", "Ru", "Ru"], "frac_coords": [[0.0000, 0.0000, 0.0000], [0.5000, 0.5000, 0.5000], [0.0000, 0.0000, 0.2720], [0.5000, 0.5000, 0.7720], [0.0000, 0.0000, 0.6815], [0.5000, 0.5000, 0.1815]], "final_energy_ha_per_atom": -0.23955, "polymorph_energy_mev_per_atom": 151, "ef_ev_per_atom": -0.079, "volume_a3_per_cell": 164.8}

7.
{"formula": "AcCeRu4", "functional": "GGA-PBE", "state": "optimized geometry", "lattice_angstrom": [[0.0000, 3.8566, 3.8566], [3.8566, 0.0000, 3.8566], [3.8566, 3.8566, 0.0000]], "species": ["Ac", "Ce", "Ru", "Ru", "Ru", "Ru"], "frac_coords": [[0.0000, 0.0000, 0.0000], [0.2500, 0.2500, 0.2500], [0.1266, 0.6245, 0.6245], [0.6245, 0.1266, 0.6245], [0.6245, 0.6245, 0.1266], [0.6245, 0.6245, 0.6245]], "final_energy_ha_per_atom": -0.29288, "ef_ev_per_atom": -0.112, "volume_a3_per_cell": 114.7}

8.
{"formula": "Ac2CeRu2", "functional": "GGA-PBE", "state": "optimized geometry", "lattice_angstrom": [[5.3509, -3.1806, 0.0000], [5.3509, 3.1806, 0.0000], [-1.3131, 0.0000, 7.9798]], "species": ["Ac", "Ac", "Ac", "Ac", "Ce", "Ce", "Ru", "Ru", "Ru", "Ru"], "frac_coords": [[0.0381, 0.2693, 0.1528], [0.2693, 0.0381, 0.6528], [0.7307, 0.9619, 0.3472], [0.9619, 0.7307, 0.8472], [0.3918, 0.6082, 0.2500], [0.6082, 0.3918, 0.7500], [0.2542, 0.4997, 0.4851], [0.4997, 0.2542, 0.9851], [0.5003, 0.7458, 0.0149], [0.7458, 0.5003, 0.5149]], "final_energy_ha_per_atom": -0.25003, "ef_ev_per_atom": -0.263, "volume_a3_per_cell": 271.6}

| no. | total magnetic moment (μB/f.u.) |
| --- | --- |
| 1 | 0.00 |
| 2 | 0.00 |
| 3 | 0.00 |
| 4 | 0.00 |
| 5 | 0.00 |
| 6 | 0.00 |
| 7 | 0.00 |
| 8 | 0.00 |